A plane-wave DFT calculation with GGA-PBE was carried out for a geometry-optimized Ba2InNiTe structure.

Summary:
The value obtained for the total moment is 0.000 μB/f.u. The density of states at the Fermi level comes out at 3.658 states/eV per cell. The formation energy without anion corrections comes out at -0.650 eV per atom.

abc: 5.967 5.967 4.915
angles: 90.00 90.00 90.00
Fractional coordinates of all 5 atoms:
Ba 0.000 0.500 0.000
Ba 0.500 0.000 0.000
In 0.000 0.000 0.500
Ni 0.000 0.000 0.000
Te 0.500 0.500 0.500